# V2TcCF | Alexandria via LeMat-Bulk | GGA+U | optimized geometry
# VASP energy: -6.73 eV per atom
# spin magnetization: 3.908 μB/cell
data_V2TcCF
_space_group_name_H-M_alt 'P 4/m m m'
_space_group_IT_number 123
_space_group_name_Hall '-P 4 2'
_cell_length_a 4.3227
_cell_length_b 4.3227
_cell_length_c 3.9284
_cell_angle_alpha 90.00
_cell_angle_beta 90.00
_cell_angle_gamma 90.00
loop_
_atom_site_label
_atom_site_type_symbol
_atom_site_fract_x
_atom_site_fract_y
_atom_site_fract_z
_atom_site_occupancy
V1 V 0.0000 0.5000 0.0000 1
Tc1 Tc 0.0000 0.0000 0.5000 1
C1 C 0.0000 0.0000 0.0000 1
F1 F 0.5000 0.5000 0.5000 1